1.
A plane-wave DFT calculation with PBE-GGA was carried out for an optimized crystal structure of NaCoBi2.

Structure (CIF):
```
data_NaCoBi2
_chemical_formula_sum 'Na4 Co4 Bi8'
_cell_length_a 8.326
_cell_length_b 8.326
_cell_length_c 6.130
_cell_angle_alpha 90.00
_cell_angle_beta 90.00
_cell_angle_gamma 90.00
_symmetry_space_group_name_H-M 'I -4 2 d'
_symmetry_Int_Tables_number 122
_symmetry_space_group_name_Hall 'I -4 2bw'
loop_
_atom_site_label
_atom_site_type_symbol
_atom_site_fract_x
_atom_site_fract_y
_atom_site_fract_z
Na1 Na 0.000 0.000 0.000
Co1 Co 0.000 0.000 0.500
Bi1 Bi 0.160 0.250 0.625
```

Size of the total moment   0.00 μB per formula unit
ΔE_f   0.186 eV/atom



2.
A plane-wave DFT calculation with PBE-GGA was carried out for an optimized crystal structure of SrCuRu2.

Structure (CIF):
```
data_SrCuRu2
_chemical_formula_sum 'Sr1 Cu1 Ru2'
_cell_length_a 3.911
_cell_length_b 3.911
_cell_length_c 4.638
_cell_angle_alpha 90.00
_cell_angle_beta 90.00
_cell_angle_gamma 90.00
_symmetry_space_group_name_H-M 'P 4/m m m'
_symmetry_Int_Tables_number 123
_symmetry_space_group_name_Hall '-P 4 2'
loop_
_atom_site_label
_atom_site_type_symbol
_atom_site_fract_x
_atom_site_fract_y
_atom_site_fract_z
Sr1 Sr 0.000 0.000 0.000
Cu1 Cu 0.500 0.500 0.000
Ru1 Ru 0.000 0.500 0.500
```

Size of the total moment   0.00 μB per formula unit
ΔE_f   0.751 eV/atom



3.
A plane-wave DFT calculation with PBE-GGA was carried out for an optimized crystal structure of Na2Li2Tl4Pb3.

Structure (CIF):
```
data_Na2Li2Tl4Pb3
_chemical_formula_sum 'Na2 Li2 Tl4 Pb3'
_cell_length_a 5.3023
_cell_length_b 5.3023
_cell_length_c 13.0306
_cell_angle_alpha 90.00
_cell_angle_beta 90.00
_cell_angle_gamma 120.00
_symmetry_space_group_name_H-M 'P -3 m 1'
_symmetry_Int_Tables_number 164
_symmetry_space_group_name_Hall '-P 3 2"'
loop_
_atom_site_label
_atom_site_type_symbol
_atom_site_fract_x
_atom_site_fract_y
_atom_site_fract_z
Na1 Na 0.3333 0.6667 0.0873
Li1 Li 0.3333 0.6667 0.5948
Tl1 Tl 0.3333 0.6667 0.3610
Tl2 Tl 0.3333 0.6667 0.8361
Pb1 Pb 0.0000 0.0000 0.2442
Pb2 Pb 0.0000 0.0000 0.5000
```

Size of the total moment   0.00 μB per formula unit
ΔE_f   -0.093 eV/atom



4.
A plane-wave DFT calculation with PBE-GGA was carried out for an optimized crystal structure of HfTi2NbN4.

Structure (CIF):
```
data_HfTi2NbN4
_chemical_formula_sum 'Hf1 Ti2 Nb1 N4'
_cell_length_a 5.370
_cell_length_b 3.093
_cell_length_c 5.372
_cell_angle_alpha 90.00
_cell_angle_beta 109.60
_cell_angle_gamma 90.00
_symmetry_space_group_name_H-M 'P 1 2/m 1'
_symmetry_Int_Tables_number 10
loop_
_symmetry_equiv_pos_as_xyz
'x,y,z'
'-x,-y,-z'
'-x,y,-z'
'x,-y,z'
loop_
_atom_site_label
_atom_site_type_symbol
_atom_site_fract_x
_atom_site_fract_y
_atom_site_fract_z
Hf1 Hf 0.000 0.000 0.000
Ti1 Ti 0.000 0.500 0.500
Ti2 Ti 0.500 0.000 0.500
Nb1 Nb 0.500 0.500 0.000
N1 N 0.242 0.000 0.735
N2 N 0.251 0.500 0.262
```

Size of the total moment   0.00 μB per formula unit
E_form (uncorrected)   -1.52 eV/atom



5.
A plane-wave DFT calculation with PBE-GGA was carried out for an optimized crystal structure of TiTc3W3.

Structure (CIF):
```
data_TiTc3W3
_chemical_formula_sum 'Ti6 Tc18 W18'
_cell_length_a 9.7777
_cell_length_b 9.7777
_cell_length_c 8.3463
_cell_angle_alpha 90.00
_cell_angle_beta 90.00
_cell_angle_gamma 120.00
_symmetry_space_group_name_H-M 'R 3 c'
_symmetry_Int_Tables_number 161
_symmetry_space_group_name_Hall 'R 3 -2"c'
loop_
_atom_site_label
_atom_site_type_symbol
_atom_site_fract_x
_atom_site_fract_y
_atom_site_fract_z
Ti1 Ti 0.0000 0.0000 0.0000
Tc1 Tc 0.1879 0.0468 0.2477
W1 W 0.0067 0.4256 0.3093
```

Size of the total moment   0.00 μB per formula unit
ΔE_f   0.347 eV/atom



6.
A plane-wave DFT calculation with PBE-GGA was carried out for an optimized crystal structure of CaRhBr2.

Structure (CIF):
```
data_CaRhBr2
_chemical_formula_sum 'Ca2 Rh2 Br4'
_cell_length_a 10.726
_cell_length_b 3.882
_cell_length_c 5.069
_cell_angle_alpha 90.00
_cell_angle_beta 91.19
_cell_angle_gamma 90.00
_symmetry_space_group_name_H-M 'C 1 m 1'
_symmetry_Int_Tables_number 8
loop_
_symmetry_equiv_pos_as_xyz
'x,y,z'
'x,-y,z'
'x+1/2,y+1/2,z'
'x+1/2,-y+1/2,z'
loop_
_atom_site_label
_atom_site_type_symbol
_atom_site_fract_x
_atom_site_fract_y
_atom_site_fract_z
Ca1 Ca 0.000 0.000 0.000
Rh1 Rh 0.297 0.000 0.844
Br1 Br 0.225 0.500 0.095
Br2 Br 0.477 0.000 0.525
```

Size of the total moment   0.00 μB per formula unit
E_form (uncorrected)   -0.74 eV/atom



7.
A plane-wave DFT calculation with PBE-GGA was carried out for an optimized crystal structure of TbPO.

Structure (CIF):
```
data_TbPO
_chemical_formula_sum 'Tb4 P4 O4'
_cell_length_a 6.951
_cell_length_b 3.817
_cell_length_c 7.797
_cell_angle_alpha 90.00
_cell_angle_beta 104.19
_cell_angle_gamma 90.00
_symmetry_space_group_name_H-M 'C 1 2/m 1'
_symmetry_Int_Tables_number 12
loop_
_symmetry_equiv_pos_as_xyz
'x,y,z'
'-x,-y,-z'
'-x,y,-z'
'x,-y,z'
'x+1/2,y+1/2,z'
'-x+1/2,-y+1/2,-z'
'-x+1/2,y+1/2,-z'
'x+1/2,-y+1/2,z'
loop_
_atom_site_label
_atom_site_type_symbol
_atom_site_fract_x
_atom_site_fract_y
_atom_site_fract_z
Tb1 Tb 0.117 0.000 0.312
P1 P 0.136 0.500 0.961
O1 O 0.193 0.000 0.611
```

Size of the total moment   0.00 μB per formula unit
E_form (uncorrected)   -2.14 eV/atom



8.
A plane-wave DFT calculation with PBE-GGA was carried out for an optimized crystal structure of Ac3In2Cu2.

Structure (CIF):
```
data_Ac3In2Cu2
_chemical_formula_sum 'Ac6 In4 Cu4'
_cell_length_a 12.630
_cell_length_b 4.117
_cell_length_c 8.739
_cell_angle_alpha 90.00
_cell_angle_beta 111.69
_cell_angle_gamma 90.00
_symmetry_space_group_name_H-M 'C 1 2/m 1'
_symmetry_Int_Tables_number 12
loop_
_symmetry_equiv_pos_as_xyz
'x,y,z'
'-x,-y,-z'
'-x,y,-z'
'x,-y,z'
'x+1/2,y+1/2,z'
'-x+1/2,-y+1/2,-z'
'-x+1/2,y+1/2,-z'
'x+1/2,-y+1/2,z'
loop_
_atom_site_label
_atom_site_type_symbol
_atom_site_fract_x
_atom_site_fract_y
_atom_site_fract_z
Ac1 Ac 0.000 0.000 0.000
Ac2 Ac 0.197 0.000 0.676
In1 In 0.034 0.500 0.345
Cu1 Cu 0.188 0.500 0.939
```

Size of the total moment   0.00 μB per formula unit
ΔE_f   -0.296 eV/atom



9.
A plane-wave DFT calculation with PBE-GGA was carried out for an optimized crystal structure of CeSmCdSi.

Structure (CIF):
```
data_CeSmCdSi
_chemical_formula_sum 'Ce4 Sm4 Cd4 Si4'
_cell_length_a 7.380
_cell_length_b 7.380
_cell_length_c 7.380
_cell_angle_alpha 90.00
_cell_angle_beta 90.00
_cell_angle_gamma 90.00
_symmetry_space_group_name_H-M 'F -4 3 m'
_symmetry_Int_Tables_number 216
_symmetry_space_group_name_Hall 'F -4 2 3'
loop_
_atom_site_label
_atom_site_type_symbol
_atom_site_fract_x
_atom_site_fract_y
_atom_site_fract_z
Ce1 Ce 0.000 0.000 0.000
Sm1 Sm 0.000 0.000 0.500
Cd1 Cd 0.250 0.250 0.250
Si1 Si 0.250 0.250 0.750
```

Size of the total moment   0.95 μB per formula unit
E_form (uncorrected)   -0.33 eV/atom



10.
A plane-wave DFT calculation with PBE-GGA was carried out for an optimized crystal structure of NpBeAgO6.

Structure (CIF):
```
data_NpBeAgO6
_chemical_formula_sum 'Np2 Be2 Ag2 O12'
_cell_length_a 5.0883
_cell_length_b 5.0883
_cell_length_c 9.3496
_cell_angle_alpha 90.00
_cell_angle_beta 90.00
_cell_angle_gamma 120.00
_symmetry_space_group_name_H-M 'P -3 1 c'
_symmetry_Int_Tables_number 163
_symmetry_space_group_name_Hall '-P 3 2c'
loop_
_atom_site_label
_atom_site_type_symbol
_atom_site_fract_x
_atom_site_fract_y
_atom_site_fract_z
Np1 Np 0.3333 0.6667 0.2500
Be1 Be 0.3333 0.6667 0.7500
Ag1 Ag 0.0000 0.0000 0.0000
O1 O 0.0204 0.3666 0.6401
```

Size of the total moment   0.00 μB per formula unit
E_form (uncorrected)   -1.57 eV/atom



11.
A plane-wave DFT calculation with PBE-GGA was carried out for an optimized crystal structure of AcTb2Ag2Sn2.

Structure (CIF):
```
data_AcTb2Ag2Sn2
_chemical_formula_sum 'Ac3 Tb6 Ag6 Sn6'
_cell_length_a 4.9378
_cell_length_b 4.9378
_cell_length_c 27.2868
_cell_angle_alpha 90.00
_cell_angle_beta 90.00
_cell_angle_gamma 120.00
_symmetry_space_group_name_H-M 'R -3 m'
_symmetry_Int_Tables_number 166
_symmetry_space_group_name_Hall '-R 3 2"'
loop_
_atom_site_label
_atom_site_type_symbol
_atom_site_fract_x
_atom_site_fract_y
_atom_site_fract_z
Ac1 Ac 0.0000 0.0000 0.0000
Tb1 Tb 0.0000 0.0000 0.1358
Ag1 Ag 0.0000 0.0000 0.4418
Sn1 Sn 0.0000 0.0000 0.2587
```

Size of the total moment   0.00 μB per formula unit
ΔE_f   -0.469 eV/atom



12.
A plane-wave DFT calculation with PBE-GGA was carried out for an optimized crystal structure of BaMgSb2.

Structure (CIF):
```
data_BaMgSb2
_chemical_formula_sum 'Ba2 Mg2 Sb4'
_cell_length_a 9.319
_cell_length_b 4.505
_cell_length_c 6.646
_cell_angle_alpha 90.00
_cell_angle_beta 109.94
_cell_angle_gamma 90.00
_symmetry_space_group_name_H-M 'C 1 2/m 1'
_symmetry_Int_Tables_number 12
loop_
_symmetry_equiv_pos_as_xyz
'x,y,z'
'-x,-y,-z'
'-x,y,-z'
'x,-y,z'
'x+1/2,y+1/2,z'
'-x+1/2,-y+1/2,-z'
'-x+1/2,y+1/2,-z'
'x+1/2,-y+1/2,z'
loop_
_atom_site_label
_atom_site_type_symbol
_atom_site_fract_x
_atom_site_fract_y
_atom_site_fract_z
Ba1 Ba 0.000 0.000 0.000
Mg1 Mg 0.000 0.500 0.500
Sb1 Sb 0.227 0.000 0.667
```

Size of the total moment   0.00 μB per formula unit
E_form (uncorrected)   -0.51 eV/atom



Calculated values (eV per atom) of total energy for the records, taken in order: -3.86, -5.33, -2.55, -10.16, -10.78, -3.92, -7.14, -4.01, -4.57, -7.05, -4.34, -3.45.